DFT (GGA-PBE) results for an optimized crystal structure of Y2AlBr.

Cell lengths 5.0366, 3.5578, 5.9776 Å; angles 72.69, 90.00, 90.00 degrees
Last column: nearest neighbours and their distance in Å.
Positions (direct):
Al 0.3752 0.5148 0.9703  7 Y 2.98-3.26
Br 0.8747 0.7388 0.5225  5 Y 2.89-3.09
Y 0.8753 0.9924 0.0153  1 Br 2.89, 4 Al 3.09
Y 0.3748 0.2541 0.4919  3 Al 2.98-3.26, 4 Br 3.09

Values from the calculation:
SG = Amm2 (38)
formation energy (no corrections) = -2.431 eV/f.u.
ΔE to the lowest computed polymorph = 114 meV per atom



DFT (GGA-PBE) results for an optimized crystal structure of YAl2Br.

Cell lengths 8.4459, 8.4459, 6.6127 Å; angles 50.31, 50.31, 90.00 degrees
Last column: nearest neighbours and their distance in Å.
Positions (direct):
Al 0.6227 0.1250 0.2500  2 Al 2.84, 2 Br 3.06, 2 Y 3.08
Al 0.1273 0.6250 0.2500  2 Al 2.84, 2 Br 3.06, 2 Y 3.08
Al 0.8750 0.8727 0.7500  2 Al 2.84, 2 Br 3.06, 2 Y 3.08
Al 0.3750 0.3773 0.7500  2 Al 2.84, 2 Br 3.06, 2 Y 3.08
Br 0.2500 0.7500 0.5000  2 Y 2.84, 4 Al 3.06
Br 0.5000 0.5000 0.0000  2 Y 2.84, 4 Al 3.06
Y 0.7500 0.2500 0.5000  2 Br 2.84, 4 Al 3.08
Y 0.0000 0.0000 0.0000  2 Br 2.84, 4 Al 3.08

Values from the calculation:
SG = I-42d (122)
formation energy (no corrections) = 0.112 eV/f.u.
ΔE to the lowest computed polymorph = 452 meV per atom



DFT (GGA-PBE) results for an optimized crystal structure of Y2AlBr.

Cell lengths 3.6828, 3.6828, 9.0211 Å; angles 78.22, 78.22, 60.00 degrees
Last column: nearest neighbours and their distance in Å.
Positions (direct):
Br 0.4986 0.4986 0.5043  6 Y 3.08-3.15
Y 0.0807 0.0807 0.7580  3 Al 2.99, 3 Br 3.08
Y 0.2534 0.2534 0.2397  3 Al 3.00, 3 Br 3.15
Al 0.6673 0.6673 0.9980  6 Y 2.99-3.00

Values from the calculation:
SG = R3m (160)
formation energy (no corrections) = -2.715 eV/f.u.
ΔE to the lowest computed polymorph = 43 meV per atom



DFT (GGA-PBE) results for an optimized crystal structure of YAlBr2.

Cell lengths 10.0736, 10.0736, 10.0736 Å; angles 22.27, 22.27, 22.27 degrees
Last column: nearest neighbours and their distance in Å.
Positions (direct):
Y 0.0000 0.0000 0.0000  2 Br 2.76
Al 0.5000 0.5000 0.5000  6 Br 3.11
Br 0.9062 0.9062 0.9062  1 Y 2.76
Br 0.0938 0.0938 0.0938  1 Y 2.76

Values from the calculation:
SG = R-3m (166)
formation energy (no corrections) = -1.837 eV/f.u.
ΔE to the lowest computed polymorph = 369 meV per atom



DFT (GGA-PBE) results for an optimized crystal structure of AlZnBr2.

Cell lengths 3.7332, 5.1198, 6.7270 Å; angles 68.32, 90.00, 90.00 degrees
Last column: nearest neighbours and their distance in Å.
Positions (direct):
Al 0.5000 0.8009 0.6516  1 Br 2.42, 2 Zn 2.57
Br 0.5000 0.2557 0.3631  1 Al 2.42
Br 0.0000 0.9587 0.8833  1 Zn 2.66, 2 Al 2.74
Zn 0.0000 0.4847 0.6021  2 Al 2.57, 1 Br 2.66

Values from the calculation:
SG = Pm (6)
formation energy (no corrections) = -1.842 eV/f.u.
ΔE to the lowest computed polymorph = 0 meV per atom



DFT (GGA-PBE) results for an optimized crystal structure of AlZnBr2.

Cell lengths 6.1906, 6.1906, 7.4007 Å; angles 53.28, 53.28, 32.91 degrees
Last column: nearest neighbours and their distance in Å.
Positions (direct):
Zn 0.5319 0.5319 0.3471  2 Al 2.65
Br 0.8636 0.8636 0.2452  2 Al 2.69
Br 0.8578 0.8578 0.7786  2 Al 2.70
Al 0.2466 0.2466 0.1291  2 Zn 2.65, 4 Br 2.69-2.70

Values from the calculation:
SG = Cm (8)
formation energy (no corrections) = -1.454 eV/f.u.
ΔE to the lowest computed polymorph = 97 meV per atom



DFT (GGA-PBE) results for an optimized crystal structure of AlZnBr2.

Cell lengths 3.5853, 3.4803, 9.9293 Å; angles 89.54, 90.00, 90.00 degrees
Last column: nearest neighbours and their distance in Å.
Positions (direct):
Al 0.5000 0.7500 0.7500  4 Br 2.54
Zn 0.5000 0.2500 0.2500  4 Zn 3.48-3.59
Br 0.0000 0.7541 0.5695  2 Al 2.54
Br 0.0000 0.7459 0.9305  2 Al 2.54

Values from the calculation:
SG = P2/m (10)
formation energy (no corrections) = -0.542 eV/f.u.
ΔE to the lowest computed polymorph = 325 meV per atom



DFT (GGA-PBE) results for an optimized crystal structure of AlZnBr2.

Cell lengths 3.6788, 3.6788, 7.2286 Å; angles 90.00, 90.00, 90.00 degrees
Last column: nearest neighbours and their distance in Å.
Positions (direct):
Br 0.0000 0.0000 0.0046  4 Zn 3.15, 4 Al 3.19
Br 0.0000 0.0000 0.4954  4 Zn 3.15, 4 Al 3.19
Al 0.5000 0.5000 0.7500  8 Br 3.19
Zn 0.5000 0.5000 0.2500  8 Br 3.15

Values from the calculation:
SG = P4/mmm (123)
formation energy (no corrections) = -0.034 eV/f.u.
ΔE to the lowest computed polymorph = 452 meV per atom



DFT (GGA-PBE) results for an optimized crystal structure of AlZnBr4.

Cell lengths 6.3979, 6.3979, 6.3979 Å; angles 60.00, 60.00, 60.00 degrees
Last column: nearest neighbours and their distance in Å.
Positions (direct):
Br 0.8726 0.3758 0.3758  6 Br 3.18-3.22
Br 0.3758 0.3758 0.3758  6 Br 3.18-3.22
Br 0.3758 0.8726 0.3758  6 Br 3.18-3.22
Br 0.3758 0.3758 0.8726  6 Br 3.18-3.22
Zn 0.7500 0.7500 0.7500  12 Br 3.75, 4 Al 3.92
Al 0.0000 0.0000 0.0000  12 Br 3.75, 4 Zn 3.92

Values from the calculation:
SG = F-43m (216)
formation energy (no corrections) = 3.069 eV/f.u.



DFT (GGA-PBE) results for an optimized crystal structure of AlZnBr2.

Cell lengths 6.6284, 6.6286, 3.4668 Å; angles 58.30, 58.30, 73.93 degrees
Last column: nearest neighbours and their distance in Å.
Positions (direct):
Br 0.5000 0.5000 0.0000  2 Al 2.82, 2 Zn 2.82
Br 0.0000 0.0000 0.0000  2 Zn 2.82, 2 Al 2.82
Al 0.0000 0.5000 0.5000  4 Br 2.82
Zn 0.5000 0.0000 0.5000  4 Br 2.82

Values from the calculation:
SG = C2/m (12)
formation energy (no corrections) = -0.315 eV/f.u.
ΔE to the lowest computed polymorph = 382 meV per atom



DFT (GGA-PBE) results for an optimized crystal structure of AlZnBr2.

Cell lengths 3.7783, 3.7783, 9.5447 Å; angles 90.00, 90.00, 124.23 degrees
Last column: nearest neighbours and their distance in Å.
Positions (direct):
Br 0.0000 0.0000 0.9209  2 Al 2.57
Br 0.5000 0.5000 0.3353  2 Zn 2.48
Al 0.5000 0.5000 0.7258  2 Br 2.57, 2 Zn 2.66
Zn 0.0000 0.0000 0.5179  2 Br 2.48, 2 Al 2.66

Values from the calculation:
SG = Cmm2 (35)
formation energy (no corrections) = -1.431 eV/f.u.
ΔE to the lowest computed polymorph = 103 meV per atom



DFT (GGA-PBE) results for an optimized crystal structure of AlZn4Br.

Cell lengths 5.4032, 5.4032, 5.4032 Å; angles 60.00, 60.00, 60.00 degrees
Last column: nearest neighbours and their distance in Å.
Positions (direct):
Zn 0.8694 0.3769 0.3769  6 Zn 2.66-2.74
Zn 0.3769 0.3769 0.3769  6 Zn 2.66-2.74
Zn 0.3769 0.8694 0.3769  6 Zn 2.66-2.74
Zn 0.3769 0.3769 0.8694  6 Zn 2.66-2.74
Br 0.0000 0.0000 0.0000  12 Zn 3.17, 4 Al 3.31
Al 0.7500 0.7500 0.7500  12 Zn 3.16, 4 Br 3.31

Values from the calculation:
SG = F-43m (216)
formation energy (no corrections) = 1.215 eV/f.u.



DFT (GGA-PBE) results for an optimized crystal structure of AlZnBr2.

Cell lengths 7.8995, 7.8995, 7.8995 Å; angles 154.58, 146.26, 42.72 degrees
Last column: nearest neighbours and their distance in Å.
Positions (direct):
Br 0.1112 0.1112 0.0000  2 Al 2.68
Br 0.3888 0.3888 0.0000  2 Al 2.68
Al 0.2500 0.7500 0.5000  4 Br 2.68, 4 Zn 2.88
Zn 0.7500 0.2500 0.5000  4 Al 2.88, 4 Br 3.07

Values from the calculation:
SG = Immm (71)
formation energy (no corrections) = -0.810 eV/f.u.
ΔE to the lowest computed polymorph = 258 meV per atom



DFT (GGA-PBE) results for an optimized crystal structure of AlZnBr2.

Cell lengths 3.8633, 3.8633, 10.2911 Å; angles 79.43, 79.43, 59.96 degrees
Last column: nearest neighbours and their distance in Å.
Positions (direct):
Zn 0.7500 0.7500 0.7500  6 Zn 3.86, 6 Br 4.10-4.12
Al 0.2500 0.2500 0.2500  6 Br 2.73
Br 0.5326 0.5326 0.4062  3 Al 2.73
Br 0.9674 0.9674 0.0938  3 Al 2.73

Values from the calculation:
SG = C2/m (12)
formation energy (no corrections) = -0.661 eV/f.u.
ΔE to the lowest computed polymorph = 295 meV per atom



DFT (GGA-PBE) results for an optimized crystal structure of Al3ZnBr.

Cell lengths 4.9267, 4.9267, 4.9267 Å; angles 90.00, 90.00, 90.00 degrees
Last column: nearest neighbours and their distance in Å.
Positions (direct):
Al 0.0000 0.0000 0.5000  2 Zn 2.46
Al 0.5000 0.0000 0.0000  2 Zn 2.46
Al 0.0000 0.5000 0.0000  2 Zn 2.46
Zn 0.0000 0.0000 0.0000  6 Al 2.46
Br 0.5000 0.5000 0.5000  12 Al 3.48

Values from the calculation:
SG = Pm-3m (221)
formation energy (no corrections) = 1.554 eV/f.u.
ΔE to the lowest computed polymorph = 0 meV per atom



DFT (GGA-PBE) results for an optimized crystal structure of AlZn2Br8.

Cell lengths 11.6845, 7.9065, 6.3793 Å; angles 91.10, 90.00, 137.64 degrees
Last column: nearest neighbours and their distance in Å.
Positions (direct):
Br 0.9393 0.1842 0.2349  1 Zn 2.47, 1 Al 2.51
Br 0.5751 0.1502 0.6923  1 Zn 2.43
Br 0.2108 0.4217 0.8007  1 Zn 2.41, 1 Al 2.61
Br 0.2449 0.1841 0.2349  1 Zn 2.47, 1 Al 2.51
Br 0.4249 0.8498 0.3077  1 Zn 2.43
Br 0.7551 0.8159 0.7651  1 Zn 2.47, 1 Al 2.51
Br 0.0607 0.8158 0.7651  1 Zn 2.47, 1 Al 2.51
Br 0.7892 0.5783 0.1993  1 Zn 2.41, 1 Al 2.61
Zn 0.7908 0.5816 0.5772  4 Br 2.41-2.47
Zn 0.2092 0.4184 0.4228  4 Br 2.41-2.47
Al 0.0000 0.0000 0.0000  6 Br 2.51-2.61

Values from the calculation:
SG = C2/m (12)
formation energy (no corrections) = -8.685 eV/f.u.



DFT (GGA-PBE) results for an optimized crystal structure of AlZnBr2.

Cell lengths 5.1822, 5.1822, 5.1822 Å; angles 60.00, 60.00, 60.00 degrees
Last column: nearest neighbours and their distance in Å.
Positions (direct):
Al 0.0000 0.0000 0.0000  8 Br 3.17
Br 0.2500 0.2500 0.2500  4 Al 3.17, 4 Zn 3.17
Br 0.7500 0.7500 0.7500  4 Zn 3.17, 4 Al 3.17
Zn 0.5000 0.5000 0.5000  8 Br 3.17

Values from the calculation:
SG = Fm-3m (225)
formation energy (no corrections) = -0.043 eV/f.u.
ΔE to the lowest computed polymorph = 450 meV per atom



DFT (GGA-PBE) results for an optimized crystal structure of AlZnBr2.

Cell lengths 7.5369, 7.5369, 7.5369 Å; angles 148.56, 148.56, 45.06 degrees
Last column: nearest neighbours and their distance in Å.
Positions (direct):
Br 0.2500 0.7500 0.5000  4 Al 2.89
Br 0.0000 0.0000 0.0000  4 Zn 2.89
Zn 0.5000 0.5000 0.0000  4 Br 2.89
Al 0.7500 0.2500 0.5000  4 Br 2.89

Values from the calculation:
SG = I-4m2 (119)
formation energy (no corrections) = -0.227 eV/f.u.
ΔE to the lowest computed polymorph = 404 meV per atom



DFT (GGA-PBE) results for an optimized crystal structure of AlZnBr2.

Cell lengths 11.2255, 11.2255, 11.2255 Å; angles 19.89, 19.89, 19.89 degrees
Last column: nearest neighbours and their distance in Å.
Positions (direct):
Al 0.5000 0.5000 0.5000  6 Br 2.73
Zn 0.0000 0.0000 0.0000  6 Zn 3.88, 2 Br 3.94
Br 0.1193 0.1193 0.1193  3 Al 2.73
Br 0.8807 0.8807 0.8807  3 Al 2.73

Values from the calculation:
SG = R-3m (166)
formation energy (no corrections) = -0.651 eV/f.u.
ΔE to the lowest computed polymorph = 298 meV per atom



DFT (GGA-PBE) results for an optimized crystal structure of AlZnBr2.

Cell lengths 7.6773, 7.6773, 6.6051 Å; angles 54.47, 54.47, 90.00 degrees
Last column: nearest neighbours and their distance in Å.
Positions (direct):
Zn 0.7500 0.2500 0.5000  4 Br 2.80
Zn 0.0000 0.0000 0.0000  4 Br 2.80
Br 0.8750 0.8889 0.7500  2 Zn 2.80, 2 Al 2.95
Br 0.3750 0.3611 0.7500  2 Zn 2.80, 2 Al 2.95
Br 0.1111 0.6250 0.2500  2 Zn 2.80, 2 Al 2.95
Br 0.6389 0.1250 0.2500  2 Zn 2.80, 2 Al 2.95
Al 0.5000 0.5000 0.0000  4 Br 2.95
Al 0.2500 0.7500 0.5000  4 Br 2.95

Values from the calculation:
SG = I-42d (122)
formation energy (no corrections) = -0.255 eV/f.u.
ΔE to the lowest computed polymorph = 397 meV per atom